(1)
AcTb6Nd6, optimized geometry, DFT PBE-GGA; formation energy from the elements = 0.2311 eV/atom; D(E_F) = 26.28 states/eV/f.u.
1.0
6.782 0.000 0.000
-3.391 5.873 0.000
0.000 0.000 11.598
Ac Tb Nd
1 6 6
Direct
0.000 0.000 0.000
0.000 0.500 0.250
0.000 0.500 0.750
0.500 0.000 0.250
0.500 0.000 0.750
0.500 0.500 0.250
0.500 0.500 0.750
0.000 0.000 0.353
0.000 0.000 0.647
0.333 0.667 0.000
0.333 0.667 0.500
0.667 0.333 0.000
0.667 0.333 0.500

(2)
CaPt3, optimized geometry, DFT PBE-GGA; formation energy from the elements = -0.4028 eV/atom; D(E_F) = 2.78 states/eV/f.u.
1.0
2.912 0.000 0.000
0.000 4.752 0.000
-0.841 0.000 5.198
Ca Pt
1 3
Direct
0.000 0.000 0.000
0.382 0.500 0.736
0.500 0.000 0.500
0.618 0.500 0.264

(3)
PrY3Rh4, optimized geometry, DFT PBE-GGA; formation energy from the elements = -0.7689 eV/atom; D(E_F) = 4.75 states/eV/f.u.
1.0
3.552 0.000 0.000
0.000 4.851 0.000
0.000 0.000 9.713
Pr Y Rh
1 3 4
Direct
0.000 0.000 0.000
0.000 0.000 0.500
0.000 0.500 0.255
0.000 0.500 0.745
0.500 0.000 0.257
0.500 0.000 0.743
0.500 0.500 0.000
0.500 0.500 0.500

(4)
Ti4Ni, optimized geometry, DFT PBE-GGA; formation energy from the elements = 0.4143 eV/atom; D(E_F) = 7.04 states/eV/f.u.; ΔE to the lowest computed polymorph = 463 meV per atom
1.0
4.527 0.000 0.000
0.000 4.527 0.000
0.000 0.000 4.527
Ti Ni
4 1
Direct
0.000 0.000 0.000
0.000 0.500 0.500
0.500 0.000 0.500
0.500 0.500 0.000
0.500 0.500 0.500

(5)
Pm3Sn2I, optimized geometry, DFT PBE-GGA; D(E_F) = 4.20 states/eV/f.u.; formation energy from raw total energies = -720.3 meV per atom
1.0
3.657 0.000 0.000
0.000 3.657 0.000
0.000 0.000 12.968
Pm Sn I
3 2 1
Direct
0.000 0.000 0.000
0.000 0.000 0.329
0.000 0.000 0.671
0.500 0.500 0.168
0.500 0.500 0.832
0.500 0.500 0.500

(6)
HoTlAgPb, optimized geometry, DFT PBE-GGA; formation energy from the elements = -0.1131 eV/atom; D(E_F) = 2.51 states/eV/f.u.; ΔE to the lowest computed polymorph = 118 meV per atom
1.0
0.000 3.704 3.704
3.704 0.000 3.704
3.704 3.704 0.000
Ho Tl Ag Pb
1 1 1 1
Direct
0.000 0.000 0.000
0.750 0.750 0.750
0.500 0.500 0.500
0.250 0.250 0.250

(7)
Ca2MgZnCd, optimized geometry, DFT PBE-GGA; formation energy from the elements = 0.1703 eV/atom; D(E_F) = 2.58 states/eV/f.u.
1.0
5.920 0.000 0.000
0.000 5.920 0.000
0.000 0.000 4.918
Ca Mg Zn Cd
2 1 1 1
Direct
0.000 0.500 0.000
0.500 0.000 0.000
0.000 0.000 0.500
0.500 0.500 0.500
0.500 0.500 0.000

(8)
Tb2SmY3Se6, optimized geometry, DFT PBE-GGA; D(E_F) = 5.59 states/eV/f.u.; formation energy from raw total energies = -1778.7 meV per atom
1.0
3.539 -6.167 0.000
3.539 6.167 0.000
-2.371 0.000 6.714
Tb Sm Y Se
2 1 3 6
Direct
0.166 0.834 0.000
0.834 0.166 0.000
0.500 0.500 0.000
0.000 0.000 0.500
0.337 0.663 0.500
0.663 0.337 0.500
0.077 0.416 0.746
0.246 0.246 0.252
0.416 0.077 0.746
0.584 0.923 0.254
0.754 0.754 0.748
0.923 0.584 0.254